This record from the Alexandria database describes a geometry-optimized Ho5Ag4Pd structure. The functional is PBE.

```
data_Ho5Ag4Pd
_cell_length_a 3.573
_cell_length_b 3.573
_cell_length_c 18.208
_cell_angle_alpha 90.00
_cell_angle_beta 90.00
_cell_angle_gamma 90.00
_symmetry_space_group_name_H-M 'P 4/m m m'
_symmetry_Int_Tables_number 123
_symmetry_space_group_name_Hall '-P 4 2'
loop_
_atom_site_label
_atom_site_fract_x
_atom_site_fract_y
_atom_site_fract_z
Ho1 0.000 0.000 0.000
Ho2 0.000 0.000 0.204
Ho3 0.000 0.000 0.407
Ag1 0.500 0.500 0.102
Ag2 0.500 0.500 0.304
Pd1 0.500 0.500 0.500
```

Summary:
Energy of formation from the pure elements, eV per atom: -0.4459
Magnetic moment, μB/f.u.: 0.0
Crystal system: tetragonal
DFT total energy, eV per atom: -4.395